No. 1
The following is a PBE calculation of YRh2Br after structural relaxation, from the Alexandria database.

It has space group I4/mmm (No. 139), with a = 4.058 Å, b = 4.058 Å, c = 8.986 Å, α = 90.00°, β = 90.00° and γ = 90.00°. The asymmetric unit holds Y at (0.000, 0.000, 0.000), Rh at (0.000, 0.500, 0.250) and Br at (0.000, 0.000, 0.500).

As for the energy: -5.933 eV/atom. As for the uncorrected formation energy: -223 meV/atom. The value obtained for the total moment is 0.00 μB per formula unit. The relative energy among the computed polymorphs is 0.203 eV/atom.



No. 2
The following is a PBE calculation of YRh2Br after structural relaxation, from the Alexandria database.

It has space group C2/m (No. 12), with a = 9.817 Å, b = 3.361 Å, c = 4.717 Å, α = 90.00°, β = 95.98° and γ = 90.00°. The asymmetric unit holds Y at (0.000, 0.000, 0.000), Rh at (0.227, 0.500, 0.221) and Br at (0.000, 0.500, 0.500).

As for the energy: -6.005 eV/atom. As for the uncorrected formation energy: -295 meV/atom. The value obtained for the total moment is 0.00 μB per formula unit. The relative energy among the computed polymorphs is 0.130 eV/atom.



No. 3
The following is a PBE calculation of YRh2Br after structural relaxation, from the Alexandria database.

It has space group F-43m (No. 216), with a = 6.726 Å, b = 6.726 Å, c = 6.726 Å, α = 90.00°, β = 90.00° and γ = 90.00°. The asymmetric unit holds Y at (0.000, 0.000, 0.000), Rh at (0.000, 0.000, 0.500), Rh at (0.250, 0.250, 0.250) and Br at (0.250, 0.250, 0.750).

As for the energy: -5.787 eV/atom. As for the uncorrected formation energy: -77 meV/atom. The value obtained for the total moment is 0.37 μB per formula unit. The relative energy among the computed polymorphs is 0.348 eV/atom.